Entry from the Open Quantum Materials Database: PaTaAs after structural relaxation (PBE).

The total magnetic moment is 0.077 μB per formula unit. For the energy above the most stable polymorph in this dataset, the calculation gives 0.000 eV per atom.

The space group is F-43m (No. 216) and the conventional cell measures 6.479, 6.479 and 6.479 Å, with angles of 90.00, 90.00 and 90.00 degrees. The distinct sites, in fractional coordinates, are Pa at (0.000, 0.000, 0.000), Ta at (0.250, 0.250, 0.250) and As at (0.000, 0.000, 0.500).

***

Entry from the Open Quantum Materials Database: DyHoSi2W2C after structural relaxation (PBE).

The total magnetic moment is 0.002 μB per formula unit. For the raw total energy, the calculation gives -0.310 hartree per atom.

The space group is Cm (No. 8) and the conventional cell measures 11.082, 3.829 and 7.112 Å, with angles of 90.00, 125.28 and 90.00 degrees. The distinct sites, in fractional coordinates, are Dy at (0.000, 0.000, 0.000), Ho at (0.149, 0.000, 0.592), Si at (0.206, 0.500, 0.956), Si at (0.443, 0.000, 0.635), W at (0.282, 0.500, 0.380), W at (0.367, 0.000, 0.212) and C at (0.075, 0.500, 0.297).

***

Entry from the Open Quantum Materials Database: Er2Ge6Pd after structural relaxation (PBE).

The total magnetic moment is 0.001 μB per formula unit. For the raw total energy, the calculation gives -0.189 hartree per atom.

The space group is Cmmm (No. 65) and the conventional cell measures 3.950, 22.236 and 4.097 Å, with angles of 90.00, 90.00 and 90.00 degrees. The distinct sites, in fractional coordinates, are Er at (0.000, 0.178, 0.000), Ge at (0.000, 0.076, 0.500), Ge at (0.000, 0.288, 0.500), Ge at (0.000, 0.427, 0.000) and Pd at (0.000, 0.500, 0.500).

***

Entry from the Open Quantum Materials Database: AsPdPtO after structural relaxation (PBE).

The total magnetic moment is 0.005 μB per formula unit. For the energy above the most stable polymorph in this dataset, the calculation gives 0.025 eV per atom.

The space group is Pmc2_1 (No. 26) and the conventional cell measures 3.925, 5.863 and 5.799 Å, with angles of 90.00, 90.00 and 90.00 degrees. The distinct sites, in fractional coordinates, are As at (0.000, 0.216, 0.000), Pd at (0.500, 0.410, 0.166), Pt at (0.000, 0.196, 0.578) and O at (0.500, 0.235, 0.506).

***

Entry from the Open Quantum Materials Database: LiAlFeTe after structural relaxation (PBE).

The total magnetic moment is 0.011 μB per formula unit. For the energy above the most stable polymorph in this dataset, the calculation gives 0.000 eV per atom.

The space group is F-43m (No. 216) and the conventional cell measures 6.180, 6.180 and 6.180 Å, with angles of 90.00, 90.00 and 90.00 degrees. The distinct sites, in fractional coordinates, are Li at (0.000, 0.000, 0.000), Al at (0.250, 0.250, 0.750), Fe at (0.000, 0.000, 0.500) and Te at (0.250, 0.250, 0.250).

***

Entry from the Open Quantum Materials Database: CoN after structural relaxation (PBE).

The total magnetic moment is 1.193 μB per formula unit. For the energy above the most stable polymorph in this dataset, the calculation gives 0.871 eV per atom.

The space group is Pmma (No. 51) and the conventional cell measures 3.626, 2.507 and 3.459 Å, with angles of 90.00, 90.00 and 90.00 degrees. The distinct sites, in fractional coordinates, are Co at (0.250, 0.000, 0.248) and N at (0.250, 0.500, 0.755).

***

> Number 4 is which compound?

AsPdPtO

***

> Which formula does entry 5 have?

LiAlFeTe

***

> total magnetic moment of number 5 (LiAlFeTe)?

0.011 μB per formula unit